Computed, not measured: SmHoGeTe after structural relaxation at the PBE-GGA level of DFT.

Properties
For the uncorrected formation energy, the calculation gives -1.116 eV per atom.

Lattice parameters (Å, degrees): 4.2606 4.2610 7.7177 90.00 106.02 119.99
Fractional positions:
Te1 0.9718 0.3840 0.3709
Ge1 0.3016 0.5487 0.8659
Sm1 0.1128 0.9543 0.0822
Ho1 0.4917 0.1438 0.6507


Computed, not measured: AlZnFeMo after structural relaxation at the PBE-GGA level of DFT.

Properties
Its electronic total energy is -24.261 eV per cell.

Lattice parameters (Å, degrees): 4.2478 4.2478 4.2478 60.00 60.00 60.00
Site moments in Bohr magnetons follow the coordinates.
Fractional positions:
Zn1 0.7500 0.7500 0.7500  0.01
Mo1 0.0000 0.0000 0.0000  -0.07
Al1 0.5000 0.5000 0.5000  0.00
Fe1 0.2500 0.2500 0.2500  0.90


Computed, not measured: SmFeC after structural relaxation at the PBE-GGA level of DFT.

Properties
For the distance to the lowest polymorph of the same formula, the calculation gives 192 meV per atom.

Lattice parameters (Å, degrees): 5.6707 5.2316 5.2313 56.43 57.17 57.18
Fractional positions:
C1 0.4608 0.2678 0.9548
Sm1 0.4608 0.2678 0.4548
C2 0.9608 0.2678 0.9548
Sm2 0.9608 0.7678 0.9548
Fe1 0.2107 0.0550 0.1677
Fe2 0.7108 0.4806 0.7419


Computed, not measured: Ac7Pm3Sm after structural relaxation at the PBE-GGA level of DFT.

Properties
Its electronic total energy is -45.034 eV per cell.

Lattice parameters (Å, degrees): 9.1290 6.4406 9.1295 110.61 86.40 110.59
Fractional positions:
Pm1 0.7894 0.0000 0.2106
Ac1 0.6030 0.3133 0.0237
Ac2 0.5000 0.0000 0.5000
Ac3 0.7973 0.7980 0.7973
Pm2 0.2106 0.0000 0.7894
Sm1 0.5000 0.5000 0.5000
Ac4 0.2027 0.2020 0.2027
Ac5 0.3970 0.6867 0.9763
Ac6 0.0237 0.3133 0.6030
Pm3 0.0000 0.5000 0.0000
Ac7 0.9763 0.6867 0.3970